[1]
{"formula": "YP2", "functional": "PBE", "state": "relaxed", "volume_a3_per_cell": 191.58, "crystal_system": "hexagonal", "formation_energy_ev_per_atom": -0.660, "m_tot_mub_per_fu": 0.00, "cell": [[8.069, 0.000, 0.000], [-4.034, 6.988, 0.000], [0.000, 0.000, 3.398]], "species": ["Y", "Y", "Y", "P", "P", "P", "P", "P", "P"], "frac_coords": [[0.000, 0.000, 0.000], [0.333, 0.667, 0.500], [0.667, 0.333, 0.500], [0.000, 0.291, 0.500], [0.000, 0.494, 0.000], [0.291, 0.000, 0.500], [0.494, 0.000, 0.000], [0.506, 0.506, 0.000], [0.709, 0.709, 0.500]]}

[2]
{"formula": "YP2", "functional": "PBE", "state": "relaxed", "volume_a3_per_cell": 222.83, "crystal_system": "hexagonal", "formation_energy_ev_per_atom": -0.258, "m_tot_mub_per_fu": 0.00, "cell": [[5.376, 0.000, 0.000], [-2.688, 4.656, 0.000], [0.000, 0.000, 8.904]], "species": ["Y", "Y", "Y", "Y", "P", "P", "P", "P", "P", "P", "P", "P"], "frac_coords": [[0.333, 0.667, 0.066], [0.333, 0.667, 0.434], [0.667, 0.333, 0.566], [0.667, 0.333, 0.934], [0.000, 0.000, 0.000], [0.000, 0.000, 0.500], [0.184, 0.367, 0.750], [0.184, 0.816, 0.750], [0.367, 0.184, 0.250], [0.633, 0.816, 0.750], [0.816, 0.184, 0.250], [0.816, 0.633, 0.250]]}